Crystalline PmGdHo at its relaxed geometry, computed with PBE-GGA.

**Polymorph energy (0 for the lowest one)**: 0 meV/atom
**Volume**: 459.37 Å³ per cell
**Energy of formation from the pure elements**: 0.708 eV/atom
**Crystal system**: cubic

Unit cell a=7.716 b=7.716 c=7.716 alpha=90.00 beta=90.00 gamma=90.00
Space group F-43m (No. 216)
Unique sites:
Pm 0.000 0.000 0.000 x4
Gd 0.000 0.000 0.500 x4
Ho 0.250 0.250 0.750 x4